# 1
! BaScNi2 (PBE, optimized geometry); values from VASP
&SYSTEM
  ibrav = 0, nat = 8, ntyp = 3
/
ATOMIC_SPECIES
Ba 137.33 Ba.upf
Sc 44.96 Sc.upf
Ni 58.69 Ni.upf
CELL_PARAMETERS angstrom
-2.535 2.535 8.166
2.535 -2.535 8.166
2.535 2.535 -8.166
ATOMIC_POSITIONS crystal
Ba 0.375 0.625 0.750
Ba 0.625 0.375 0.250
Sc 0.125 0.875 0.250
Sc 0.875 0.125 0.750
Ni 0.000 0.000 0.000
Ni 0.000 0.000 0.500
Ni 0.000 0.500 0.000
Ni 0.500 0.000 0.500
! Offset from the most stable computed form: 285 meV/atom
! Mass density: 4.74 g/cm³
! Uncorrected energy: -4.7700 eV/atom

# 2
! BaScNi2 (PBE, optimized geometry); values from VASP
&SYSTEM
  ibrav = 0, nat = 4, ntyp = 3
/
ATOMIC_SPECIES
Ba 137.33 Ba.upf
Sc 44.96 Sc.upf
Ni 58.69 Ni.upf
CELL_PARAMETERS angstrom
3.380 0.000 0.000
0.000 3.380 0.000
0.000 0.000 7.777
ATOMIC_POSITIONS crystal
Ba 0.000 0.000 0.000
Sc 0.500 0.500 0.576
Ni 0.000 0.000 0.414
Ni 0.500 0.500 0.278
! Offset from the most stable computed form: 234 meV/atom
! Mass density: 5.60 g/cm³
! Uncorrected energy: -4.8214 eV/atom

- The lowest offset from the most stable computed form belongs to which entry?
  number 2